Compound: Mn2TlF4
Source: Alexandria
Functional: PBE+U
Structure: optimized geometry

DOS at the Fermi energy, states/eV/atom: 0.111
Uncorrected energy, eV/cell: -78.14

```
14
Lattice="-2.279 -0.930 -2.335 5.456 0.212 -2.945 1.796 -10.797 2.549" Properties=species:S:1:pos:R:3 pbc="T T T"
F 3.346 -6.480 -0.684
Tl 3.866 -2.900 -2.619
F 3.671 -8.766 -2.556
F 1.302 -2.749 -0.175
F 1.626 -5.035 -2.047
F -1.140 -0.465 -1.167
Mn 3.741 -10.757 -1.831
Mn 1.231 -0.759 -0.900
F -0.242 -5.864 0.107
Mn 3.074 -6.744 -2.778
Mn 1.899 -4.771 0.047
Tl 1.106 -8.615 -0.112
F 1.044 -1.531 -2.874
F 3.928 -9.984 0.143
```